Entry 1:
A plane-wave DFT calculation with PBE was carried out for a geometry-optimized Tb6Pm3Tl structure.

The structure belongs to space group Cmc2_1 (No. 36); the cell edges are 10.6357, 19.4961 and 6.2541 Å and the angles 90.00°, 90.00° and 90.00°. The inequivalent atoms are Tb at (0.0000, 0.0584, 0.0000), Tb at (0.0000, 0.2892, 0.7404), Tb at (0.1708, 0.4589, 0.6413), Tb at (0.2319, 0.1984, 0.9765), Pm at (0.0000, 0.3965, 0.1686), Pm at (0.1669, 0.1208, 0.5093) and Tl at (0.0000, 0.2376, 0.2543).

The offset from the most stable computed form is 11 meV per atom. The density of states at the Fermi level is 1.229 states/eV per atom. The size of the total moment comes out at 0.00 μB/f.u. Its formation energy is 0.03 eV/atom.

Entry 2:
A plane-wave DFT calculation with PBE was carried out for a geometry-optimized TbPd6Pt2 structure.

The structure belongs to space group P6/mmm (No. 191); the cell edges are 5.4000, 5.4000 and 7.0304 Å and the angles 90.00°, 90.00° and 120.00°. The inequivalent atoms are Tb at (0.0000, 0.0000, 0.0000), Pd at (0.0000, 0.5000, 0.1911) and Pt at (0.3333, 0.6667, 0.5000).

The offset from the most stable computed form is 190 meV per atom. The density of states at the Fermi level is 1.271 states/eV per atom. The size of the total moment comes out at 0.00 μB/f.u. Its formation energy is -0.09 eV/atom.

Entry 3:
A plane-wave DFT calculation with PBE was carried out for a geometry-optimized Er4BeSeS2 structure.

The structure belongs to space group P2/m (No. 10); the cell edges are 6.8529, 3.8393 and 6.9060 Å and the angles 90.00°, 108.36° and 90.00°. The inequivalent atoms are Er at (0.2456, 0.0000, 0.2396), Er at (0.2531, 0.5000, 0.7658), Be at (0.0000, 0.5000, 0.0000), Se at (0.0000, 0.0000, 0.5000), S at (0.5000, 0.0000, 0.0000) and S at (0.5000, 0.5000, 0.5000).

The value obtained for the raw formation energy is -1.39 eV per atom. The density of states at the Fermi level is 0.342 states/eV per atom. The size of the total moment comes out at 0.00 μB/f.u.

Entry 4:
A plane-wave DFT calculation with PBE was carried out for a geometry-optimized SiOsCl2 structure.

The structure belongs to space group C2/m (No. 12); the cell edges are 5.5505, 8.8351 and 3.2254 Å and the angles 90.00°, 124.67° and 90.00°. The inequivalent atoms are Si at (0.0000, 0.0000, 0.0000), Os at (0.0000, 0.5000, 0.0000) and Cl at (0.2500, 0.2500, 0.5000).

The value obtained for the raw formation energy is 0.82 eV per atom. The offset from the most stable computed form is 1019 meV per atom. The density of states at the Fermi level is 0.895 states/eV per atom. The size of the total moment comes out at 0.00 μB/f.u.

Entry 5:
A plane-wave DFT calculation with PBE was carried out for a geometry-optimized Th3Zn structure.

The structure belongs to space group Pm-3m (No. 221); the cell edges are 4.8496, 4.8496 and 4.8496 Å and the angles 90.00°, 90.00° and 90.00°. The inequivalent atoms are Th at (0.0000, 0.0000, 0.5000) and Zn at (0.5000, 0.5000, 0.5000).

The density of states at the Fermi level is 1.022 states/eV per atom. The size of the total moment comes out at 0.00 μB/f.u. Its formation energy is 0.02 eV/atom.

Entry 6:
A plane-wave DFT calculation with PBE was carried out for a geometry-optimized MgBeRu2 structure.

The structure belongs to space group Cm (No. 8); the cell edges are 9.4947, 2.9611 and 4.1916 Å and the angles 90.00°, 116.09° and 90.00°. The inequivalent atoms are Mg at (0.0000, 0.0000, 0.0000), Be at (0.2565, 0.5000, 0.2573), Ru at (0.2316, 0.0000, 0.7327) and Ru at (0.4787, 0.0000, 0.4786).

The density of states at the Fermi level is 1.029 states/eV per atom. The size of the total moment comes out at 0.00 μB/f.u. Its formation energy is 0.07 eV/atom.

Entry 7:
A plane-wave DFT calculation with PBE was carried out for a geometry-optimized SrCoBr structure.

The structure belongs to space group P-1 (No. 2); the cell edges are 4.1738, 6.1401 and 6.6039 Å and the angles 87.34°, 89.91° and 70.15°. The inequivalent atoms are Sr at (0.1342, 0.2304, 0.1921), Co at (0.4422, 0.6152, 0.1266) and Br at (0.1493, 0.2032, 0.6843).

The value obtained for the raw formation energy is -0.43 eV per atom. The density of states at the Fermi level is 0.812 states/eV per atom. The size of the total moment comes out at 1.05 μB/f.u.

Entry 8:
A plane-wave DFT calculation with PBE was carried out for a geometry-optimized CaU2Ga9 structure.

The structure belongs to space group P4/mmm (No. 123); the cell edges are 4.2795, 4.2795 and 12.8757 Å and the angles 90.00°, 90.00° and 90.00°. The inequivalent atoms are Ca at (0.0000, 0.0000, 0.0000), U at (0.0000, 0.0000, 0.3349), Ga at (0.0000, 0.5000, 0.1698), Ga at (0.0000, 0.5000, 0.5000), Ga at (0.5000, 0.5000, 0.0000) and Ga at (0.5000, 0.5000, 0.3359).

The density of states at the Fermi level is 0.953 states/eV per atom. The size of the total moment comes out at 4.70 μB/f.u. Its formation energy is -0.26 eV/atom.

Entry 9:
A plane-wave DFT calculation with PBE was carried out for a geometry-optimized PdBrF structure.

The structure belongs to space group P2/m (No. 10); the cell edges are 5.2035, 3.4882 and 7.4027 Å and the angles 90.00°, 102.31° and 90.00°. The inequivalent atoms are Pd at (0.0000, 0.0000, 0.0000), Pd at (0.0000, 0.5000, 0.5000), Br at (0.2397, 0.0000, 0.7057) and F at (0.2227, 0.5000, 0.1087).

The value obtained for the raw formation energy is -0.65 eV per atom. The offset from the most stable computed form is 19 meV per atom. The density of states at the Fermi level is 0.443 states/eV per atom. The size of the total moment comes out at 0.65 μB/f.u.

Entry 10:
A plane-wave DFT calculation with PBE was carried out for a geometry-optimized Er2TmSc8 structure.

The structure belongs to space group C2/m (No. 12); the cell edges are 8.6817, 15.9490 and 5.4834 Å and the angles 90.00°, 129.07° and 90.00°. The inequivalent atoms are Er at (0.0000, 0.1906, 0.0000), Tm at (0.0000, 0.5000, 0.5000), Sc at (0.0000, 0.2978, 0.5000), Sc at (0.0022, 0.0000, 0.2435) and Sc at (0.2245, 0.3726, 0.2236).

The density of states at the Fermi level is 1.549 states/eV per atom. The size of the total moment comes out at 0.00 μB/f.u. Its formation energy is 0.14 eV/atom.

Entry 11:
A plane-wave DFT calculation with PBE was carried out for a geometry-optimized YZn2Ir structure.

The structure belongs to space group Cmmm (No. 65); the cell edges are 5.5540, 7.9953 and 3.1943 Å and the angles 90.00°, 90.00° and 90.00°. The inequivalent atoms are Y at (0.0000, 0.0000, 0.0000), Zn at (0.2500, 0.2500, 0.5000) and Ir at (0.0000, 0.5000, 0.0000).

The density of states at the Fermi level is 0.283 states/eV per atom. The size of the total moment comes out at 0.00 μB/f.u. Its formation energy is -0.10 eV/atom.

Entry 12:
A plane-wave DFT calculation with PBE was carried out for a geometry-optimized MoPbCl structure.

The structure belongs to space group F-43m (No. 216); the cell edges are 6.6982, 6.6982 and 6.6982 Å and the angles 90.00°, 90.00° and 90.00°. The inequivalent atoms are Mo at (0.0000, 0.0000, 0.0000), Pb at (0.2500, 0.2500, 0.2500) and Cl at (0.2500, 0.2500, 0.7500).

The value obtained for the raw formation energy is 0.80 eV per atom. The offset from the most stable computed form is 732 meV per atom. The density of states at the Fermi level is 0.910 states/eV per atom. The size of the total moment comes out at 2.75 μB/f.u.

Entry 13:
A plane-wave DFT calculation with PBE was carried out for a geometry-optimized TiHN2F structure.

The structure belongs to space group P4/mmm (No. 123); the cell edges are 3.9915, 3.9915 and 3.9439 Å and the angles 90.00°, 90.00° and 90.00°. The inequivalent atoms are Ti at (0.0000, 0.0000, 0.0000), H at (0.5000, 0.5000, 0.5000), N at (0.0000, 0.5000, 0.0000) and F at (0.0000, 0.0000, 0.5000).

As for the total energy: -5.748 eV per atom. The density of states at the Fermi level is 0.348 states/eV per atom. The size of the total moment comes out at 1.40 μB/f.u.

Entry 14:
A plane-wave DFT calculation with PBE was carried out for a geometry-optimized LiInAs2 structure.

The structure belongs to space group P4/mmm (No. 123); the cell edges are 4.4446, 4.4446 and 4.0549 Å and the angles 90.00°, 90.00° and 90.00°. The inequivalent atoms are Li at (0.0000, 0.0000, 0.0000), In at (0.5000, 0.5000, 0.0000) and As at (0.0000, 0.5000, 0.5000).

The density of states at the Fermi level is 0.324 states/eV per atom. The size of the total moment comes out at 0.00 μB/f.u. Its formation energy is -0.11 eV/atom.

Entry 15:
A plane-wave DFT calculation with PBE was carried out for a geometry-optimized Er2CoTc structure.

The structure belongs to space group R-3m (No. 166, hexagonal axes); the cell edges are 3.2451, 3.2451 and 27.7011 Å and the angles 90.00°, 90.00° and 120.00°. The inequivalent atoms are Er at (0.0000, 0.0000, 0.0910), Co at (0.0000, 0.0000, 0.0000) and Tc at (0.0000, 0.0000, 0.5000).

The density of states at the Fermi level is 1.391 states/eV per atom. The size of the total moment comes out at 0.92 μB/f.u. Its formation energy is 0.58 eV/atom.

Entry 16:
A plane-wave DFT calculation with PBE was carried out for a geometry-optimized Sr4PtRh structure.

The structure belongs to space group C2/c (No. 15); the cell edges are 9.7574, 14.2558 and 6.8931 Å and the angles 90.00°, 124.74° and 90.00°. The inequivalent atoms are Sr at (0.1284, 0.1776, 0.0959), Sr at (0.2006, 0.4427, 0.2606), Pt at (0.0000, 0.3642, 0.7500) and Rh at (0.0000, 0.0022, 0.2500).

The offset from the most stable computed form is 0 meV per atom. The density of states at the Fermi level is 0.503 states/eV per atom. The size of the total moment comes out at 0.00 μB/f.u. Its formation energy is -0.46 eV/atom.

Entry 17:
A plane-wave DFT calculation with PBE was carried out for a geometry-optimized TlCdCuBr2 structure.

The structure belongs to space group P4/mmm (No. 123); the cell edges are 6.0492, 6.0492 and 5.5348 Å and the angles 90.00°, 90.00° and 90.00°. The inequivalent atoms are Tl at (0.0000, 0.0000, 0.0000), Cd at (0.0000, 0.0000, 0.5000), Cu at (0.5000, 0.5000, 0.5000) and Br at (0.0000, 0.5000, 0.0000).

The value obtained for the raw formation energy is 0.37 eV per atom. The density of states at the Fermi level is 0.575 states/eV per atom. The size of the total moment comes out at 0.13 μB/f.u.

Entry 18:
A plane-wave DFT calculation with PBE was carried out for a geometry-optimized TmScNb structure.

The structure belongs to space group P-6m2 (No. 187); the cell edges are 5.0074, 5.0074 and 3.1742 Å and the angles 90.00°, 90.00° and 120.00°. The inequivalent atoms are Tm at (0.0000, 0.0000, 0.0000), Sc at (0.6667, 0.3333, 0.5000) and Nb at (0.3333, 0.6667, 0.5000).

The offset from the most stable computed form is 0 meV per atom. The density of states at the Fermi level is 1.554 states/eV per atom. The size of the total moment comes out at 0.00 μB/f.u. Its formation energy is 0.15 eV/atom.

Entry 19:
A plane-wave DFT calculation with PBE was carried out for a geometry-optimized Hf2Zn5Au structure.

The structure belongs to space group Cmcm (No. 63); the cell edges are 3.5721, 16.5291 and 9.2689 Å and the angles 90.00°, 90.00° and 90.00°. The inequivalent atoms are Hf at (0.0000, 0.0000, 0.0000), Hf at (0.0000, 0.1780, 0.2500), Zn at (0.0000, 0.2140, 0.5994), Zn at (0.0000, 0.3666, 0.5242), Zn at (0.0000, 0.3770, 0.2500) and Au at (0.0000, 0.4664, 0.7500).

The density of states at the Fermi level is 0.517 states/eV per atom. The size of the total moment comes out at 0.00 μB/f.u. Its formation energy is -0.16 eV/atom.

Entry 20:
A plane-wave DFT calculation with PBE was carried out for a geometry-optimized Sb2RhAu structure.

The structure belongs to space group Pm (No. 6); the cell edges are 4.3017, 5.1062 and 4.8654 Å and the angles 90.00°, 116.08° and 90.00°. The inequivalent atoms are Sb at (0.0000, 0.0000, 0.0000), Sb at (0.4407, 0.5000, 0.8794), Rh at (0.3202, 0.0000, 0.6389) and Au at (0.1374, 0.5000, 0.2749).

The value obtained for the raw formation energy is -0.13 eV per atom. The density of states at the Fermi level is 0.634 states/eV per atom. The size of the total moment comes out at 0.00 μB/f.u.